Entry from Alexandria via LeMat-Bulk: a relaxed KCdIn2 crystal (PBE).

Cell lengths 6.502, 6.502, 3.170 Å; angles 90.00, 90.00, 118.48 degrees
Positions (direct):
Cd 0.000 0.500 0.500
In 0.000 0.000 0.000
In 0.500 0.500 0.000
K 0.500 0.000 0.500

***

Entry from Alexandria via LeMat-Bulk: a relaxed KCd2In crystal (PBE).

Cell lengths 10.895, 10.895, 10.895 Å; angles 19.20, 19.20, 19.20 degrees
Positions (direct):
Cd 0.991 0.991 0.991
Cd 0.509 0.509 0.509
In 0.250 0.250 0.250
K 0.750 0.750 0.750

***

Entry from Alexandria via LeMat-Bulk: a relaxed KCd4In crystal (PBE).

Cell lengths 3.884, 9.657, 18.806 Å; angles 90.00, 90.00, 90.00 degrees
Positions (direct):
K 0.000 0.626 0.348
K 0.000 0.374 0.652
K 0.000 0.126 0.152
K 0.000 0.874 0.848
Cd 0.500 0.792 0.190
Cd 0.500 0.208 0.810
Cd 0.500 0.292 0.310
Cd 0.500 0.708 0.690
Cd 0.500 0.871 0.035
Cd 0.500 0.129 0.965
Cd 0.500 0.371 0.465
Cd 0.500 0.629 0.535
Cd 0.500 0.879 0.450
Cd 0.500 0.121 0.550
Cd 0.500 0.379 0.050
Cd 0.500 0.621 0.950
Cd 0.500 0.980 0.305
Cd 0.500 0.020 0.695
Cd 0.500 0.480 0.195
Cd 0.500 0.520 0.805
In 0.000 0.635 0.088
In 0.000 0.365 0.912
In 0.000 0.135 0.412
In 0.000 0.865 0.588

The value obtained for the excess energy over the best structure of this formula in the dataset is 0 meV/atom.

***

Entry from Alexandria via LeMat-Bulk: a relaxed KCdIn2 crystal (PBE).

Cell lengths 3.402, 4.275, 8.460 Å; angles 90.00, 90.00, 90.00 degrees
Positions (direct):
Cd 0.500 0.500 0.797
In 0.000 0.000 0.994
In 0.500 0.500 0.204
K 0.000 0.000 0.505

***

Entry from Alexandria via LeMat-Bulk: a relaxed KCd2In5 crystal (PBE).

Cell lengths 3.388, 8.487, 8.487 Å; angles 69.85, 78.49, 78.49 degrees
Positions (direct):
K 0.000 0.000 0.000
Cd 0.253 0.247 0.247
Cd 0.747 0.753 0.753
In 0.000 0.500 0.500
In 0.364 0.412 0.860
In 0.636 0.588 0.140
In 0.636 0.140 0.588
In 0.364 0.860 0.412

***

Entry from Alexandria via LeMat-Bulk: a relaxed K2CdIn6 crystal (PBE).

Cell lengths 6.878, 6.808, 6.779 Å; angles 89.47, 90.00, 120.34 degrees
Positions (direct):
K 0.665 0.331 0.138
K 0.335 0.669 0.862
Cd 0.000 0.000 0.000
In 0.826 0.181 0.659
In 0.824 0.648 0.668
In 0.355 0.181 0.659
In 0.174 0.819 0.341
In 0.176 0.352 0.332
In 0.645 0.819 0.341

***

Entry from Alexandria via LeMat-Bulk: a relaxed KCd11In crystal (PBE).

Cell lengths 6.076, 7.926, 7.870 Å; angles 81.32, 67.29, 66.98 degrees
Positions (direct):
K 0.000 0.000 0.000
Cd 0.280 0.215 0.218
Cd 0.720 0.785 0.782
Cd 0.502 0.785 0.218
Cd 0.498 0.215 0.782
Cd 0.350 0.645 0.643
Cd 0.650 0.355 0.357
Cd 0.006 0.355 0.643
Cd 0.994 0.645 0.357
Cd 0.000 0.500 0.000
Cd 0.500 0.000 0.500
Cd 0.000 0.000 0.500
In 0.500 0.500 0.000

***

Entry from Alexandria via LeMat-Bulk: a relaxed KCd2In crystal (PBE).

Cell lengths 6.436, 6.436, 6.436 Å; angles 144.69, 127.25, 65.08 degrees
Positions (direct):
Cd 0.031 0.031 0.000
Cd 0.247 0.747 0.500
In 0.470 0.470 0.000
K 0.752 0.252 0.500

***

Entry from Alexandria via LeMat-Bulk: a relaxed KCdIn3 crystal (PBE).

Cell lengths 6.199, 6.199, 6.199 Å; angles 90.00, 90.00, 90.00 degrees
Positions (direct):
K 0.000 0.000 0.000
Cd 0.500 0.500 0.500
In 0.000 0.500 0.000
In 0.000 0.000 0.500
In 0.500 0.000 0.000

The value obtained for the excess energy over the best structure of this formula in the dataset is 947 meV/atom.

***

Entry from Alexandria via LeMat-Bulk: a relaxed KCd2In crystal (PBE).

Cell lengths 3.360, 4.325, 8.232 Å; angles 90.00, 90.00, 90.00 degrees
Positions (direct):
K 0.500 0.500 0.755
Cd 0.000 0.000 0.056
Cd 0.500 0.500 0.245
In 0.000 0.000 0.444

***

Entry from Alexandria via LeMat-Bulk: a relaxed KCd3In9 crystal (PBE).

Cell lengths 5.992, 8.325, 8.380 Å; angles 82.36, 69.05, 68.17 degrees
Positions (direct):
K 0.000 0.000 0.000
Cd 0.500 0.500 0.000
Cd 0.000 0.000 0.500
Cd 0.500 0.000 0.500
In 0.707 0.790 0.786
In 0.293 0.210 0.214
In 0.507 0.210 0.786
In 0.493 0.790 0.214
In 0.642 0.354 0.358
In 0.358 0.646 0.642
In 0.000 0.646 0.358
In 0.000 0.354 0.642
In 0.000 0.500 0.000

***

Entry from Alexandria via LeMat-Bulk: a relaxed KCd3In crystal (PBE).

Cell lengths 5.671, 5.671, 5.671 Å; angles 90.00, 90.00, 90.00 degrees
Positions (direct):
K 0.500 0.500 0.500
Cd 0.000 0.500 0.000
Cd 0.000 0.000 0.500
Cd 0.500 0.000 0.000
In 0.000 0.000 0.000

The value obtained for the excess energy over the best structure of this formula in the dataset is 179 meV/atom.

***

Record order is preserved below.
DFT formation energy: 0.07; 0.09; -0.03; -0.04; -0.03; -0.09; -0.03; 0.02; 0.84; -0.02; -0.02; 0.11 eV per atom
Record order is preserved below.
DOS(E_F): 2.76; 1.79; 2.84; 1.25; 2.25; 5.35; 4.46; 2.37; 6.81; 2.19; 5.49; 2.63 states/eV/f.u.